BaMgGe2, optimized geometry, DFT PBE; total DFT energy (no corrections) = -3.331 eV/atom; ΔH_f (0 K) = -13.77 kJ/mol of atoms; volume = 26.22 A^3/atom; SG = Fm-3m
1.0
0.0000 3.7430 3.7430
3.7430 0.0000 3.7430
3.7430 3.7430 0.0000
Ba Mg Ge
1 1 2
Cartesian
0.0000 0.0000 0.0000 Ba
3.7430 3.7430 3.7430 Mg
1.8715 1.8715 1.8715 Ge
5.6145 5.6145 5.6145 Ge